# 1
# MgZrPt

A relaxed structure of MgZrPt (PBE-GGA, OQMD).

The calculation puts the raw total energy at -6.042 eV per atom. For the total magnetization, the calculation gives 0.02 μB per atom. The calculation puts the density at 8.72 g/cm3.

The structure belongs to space group Fmmm (No. 69); the cell edges are 5.5215, 9.1100 and 9.4053 Å and the angles 90.00°, 90.00° and 90.00°. The inequivalent atoms are Mg at (0.0000, 0.1649, 0.0000), Zr at (0.0000, 0.0000, 0.3389) and Pt at (0.2500, 0.2500, 0.2500).

=====

# 2
# MgZrPt

A relaxed structure of MgZrPt (PBE-GGA, OQMD).

The calculation puts the raw total energy at -5.974 eV per atom. For the total magnetization, the calculation gives 0.00 μB per atom. The calculation puts the density at 8.70 g/cm3.

The structure belongs to space group Ima2 (No. 46); the cell edges are 5.6340, 6.6776 and 6.3041 Å and the angles 90.00°, 90.00° and 90.00°. The inequivalent atoms are Mg at (0.2500, 0.1711, 0.0000), Zr at (0.2500, 0.6748, 0.1707) and Pt at (0.0000, 0.0000, 0.3402).

=====

# 3
# MgZr3Pt2

A relaxed structure of MgZr3Pt2 (PBE-GGA, OQMD).

The calculation puts the raw total energy at -7.207 eV per atom. For the total magnetization, the calculation gives 0.01 μB per atom. The calculation puts the density at 9.58 g/cm3.

The structure belongs to space group Fmm2 (No. 42); the cell edges are 5.5140, 9.1413 and 9.4682 Å and the angles 90.00°, 90.00° and 90.00°. The inequivalent atoms are Mg at (0.0000, 0.0000, 0.0000), Zr at (0.0000, 0.0000, 0.6796), Zr at (0.0000, 0.1602, 0.3413) and Pt at (0.2500, 0.2500, 0.0909).

=====

# 4
# Mg3ZrPt2

A relaxed structure of Mg3ZrPt2 (PBE-GGA, OQMD).

The calculation puts the raw total energy at -4.864 eV per atom. For the total magnetization, the calculation gives 0.00 μB per atom. The calculation puts the density at 7.95 g/cm3.

The structure belongs to space group Fmm2 (No. 42); the cell edges are 5.5865, 9.0290 and 9.1775 Å and the angles 90.00°, 90.00° and 90.00°. The inequivalent atoms are Mg at (0.0000, 0.0000, 0.0000), Mg at (0.0000, 0.1713, 0.6719), Zr at (0.0000, 0.0000, 0.3372) and Pt at (0.2500, 0.2500, 0.4232).

=====

# 5
# PuMg

A relaxed structure of PuMg (PBE-GGA, OQMD).

The calculation puts the raw total energy at -7.725 eV per atom. For the total magnetization, the calculation gives 3.00 μB per atom. The calculation puts the density at 8.83 g/cm3.

The structure belongs to space group Pm (No. 6); the cell edges are 5.9122, 5.2620 and 9.7501 Å and the angles 90.00°, 93.15° and 90.00°. The inequivalent atoms are Pu at (0.0000, 0.0000, 0.0000), Pu at (0.0019, 0.0000, 0.3269), Pu at (0.2205, 0.5000, 0.8450), Pu at (0.4790, 0.0000, 0.4587), Pu at (0.4931, 0.0000, 0.7927), Pu at (0.7254, 0.5000, 0.9782), Mg at (0.1797, 0.5000, 0.5119), Mg at (0.2252, 0.5000, 0.1855), Mg at (0.5036, 0.0000, 0.1331), Mg at (0.7011, 0.5000, 0.3122), Mg at (0.7022, 0.5000, 0.6353) and Mg at (0.9847, 0.0000, 0.6584).

=====

# 6
# PuMg

A relaxed structure of PuMg (PBE-GGA, OQMD).

The calculation puts the raw total energy at -7.734 eV per atom. For the total magnetization, the calculation gives 3.00 μB per atom. The calculation puts the density at 8.80 g/cm3.

The structure belongs to space group Pm (No. 6); the cell edges are 5.7545, 5.2999 and 8.7665 Å and the angles 90.00°, 108.77° and 90.00°. The inequivalent atoms are Pu at (0.0000, 0.0000, 0.0000), Pu at (0.0960, 0.5000, 0.7978), Pu at (0.2934, 0.5000, 0.1950), Pu at (0.3997, 0.0000, 0.8029), Pu at (0.5973, 0.0000, 0.1959), Mg at (0.2039, 0.0000, 0.4087), Mg at (0.4996, 0.5000, 0.5932), Mg at (0.6853, 0.5000, 0.9963), Mg at (0.7952, 0.0000, 0.5908) and Mg at (0.9013, 0.5000, 0.3996).

=====

Among the records above, which one has the highest raw total energy? Mg3ZrPt2

=====

Number 6 is which compound? PuMg

=====

The highest raw total energy belongs to which entry? Mg3ZrPt2

=====

Number 3 is which compound? MgZr3Pt2